Record 1
Entry from OQMD via LeMat-Bulk: a geometry-optimized Nb3AlB4 structure (GGA-PBE).

```
data_Nb3AlB4
_cell_length_a 3.1260
_cell_length_b 3.3072
_cell_length_c 8.5910
_cell_angle_alpha 90.00
_cell_angle_beta 90.00
_cell_angle_gamma 90.00
_space_group_name_H-M_alt 'P m m m'
_space_group_IT_number 47
loop_
_space_group_symop_operation_xyz
'x,y,z'
'-x,-y,-z'
'-x,-y,z'
'x,y,-z'
'x,-y,-z'
'-x,y,z'
'-x,y,-z'
'x,-y,z'
loop_
_atom_site_label
_atom_site_type_symbol
_atom_site_fract_x
_atom_site_fract_y
_atom_site_fract_z
Nb1 Nb 0.0000 0.0000 0.0000
Nb2 Nb 0.5000 0.0000 0.3059
Al1 Al 0.0000 0.5000 0.5000
B1 B 0.0000 0.5000 0.2149
B2 B 0.5000 0.5000 0.1080
```

Values from the calculation:
Calculated volume   11.10 Å³/atom

---

Record 2
Entry from OQMD via LeMat-Bulk: a geometry-optimized Nb2AlB2 structure (GGA-PBE).

```
data_Nb2AlB2
_cell_length_a 3.1552
_cell_length_b 11.6629
_cell_length_c 3.3212
_cell_angle_alpha 90.00
_cell_angle_beta 90.00
_cell_angle_gamma 90.00
_space_group_name_H-M_alt 'C m m m'
_space_group_IT_number 65
_space_group_name_Hall '-C 2 2'
loop_
_atom_site_label
_atom_site_type_symbol
_atom_site_fract_x
_atom_site_fract_y
_atom_site_fract_z
Nb1 Nb 0.0000 0.1412 0.0000
Al1 Al 0.0000 0.5000 0.5000
B1 B 0.0000 0.2894 0.5000
```

Values from the calculation:
Calculated volume   12.22 Å³/atom

---

Record 3
Entry from OQMD via LeMat-Bulk: a geometry-optimized NbAlB structure (GGA-PBE).

```
data_NbAlB
_cell_length_a 5.7644
_cell_length_b 5.7644
_cell_length_c 5.7644
_cell_angle_alpha 90.00
_cell_angle_beta 90.00
_cell_angle_gamma 90.00
_space_group_name_H-M_alt 'F -4 3 m'
_space_group_IT_number 216
_space_group_name_Hall 'F -4 2 3'
loop_
_atom_site_label
_atom_site_type_symbol
_atom_site_fract_x
_atom_site_fract_y
_atom_site_fract_z
Nb1 Nb 0.0000 0.0000 0.0000
Al1 Al 0.2500 0.2500 0.2500
B1 B 0.2500 0.2500 0.7500
```

Values from the calculation:
Calculated volume   15.96 Å³/atom
Energy above the most stable polymorph in this dataset   0 meV per atom

---

| no. | DFT total energy (eV/atom) | density (Mg/m³) |
| --- | --- | --- |
| 1 | -8.225 | 6.5 |
| 2 | -7.993 | 6.4 |
| 3 | -5.866 | 4.5 |